Entry 1:
TcMo | Alexandria via LeMat-Bulk | GGA-PBE | relaxed; formation enthalpy at 0 K = 423 meV per atom; space-group type = P4/m (83); mass density = 9.83 g/cm3
1.0
7.736 0.000 0.000
0.000 7.736 0.000
0.000 0.000 4.378
Tc Mo
8 8
Direct
0.036 0.690 0.000
0.114 0.206 0.500
0.206 0.886 0.500
0.310 0.036 0.000
0.690 0.964 0.000
0.794 0.114 0.500
0.886 0.794 0.500
0.964 0.310 0.000
0.178 0.533 0.500
0.295 0.381 0.000
0.381 0.705 0.000
0.467 0.178 0.500
0.533 0.822 0.500
0.619 0.295 0.000
0.705 0.619 0.000
0.822 0.467 0.500

---

Entry 2:
Be2PRuC | Alexandria via LeMat-Bulk | GGA-PBE | relaxed; formation enthalpy at 0 K = 1575 meV per atom; space-group type = P4/mmm (123); mass density = 3.42 g/cm3
1.0
4.264 0.000 0.000
0.000 4.264 0.000
0.000 0.000 4.324
Be P Ru C
2 1 1 1
Direct
0.000 0.500 0.000
0.500 0.000 0.000
0.000 0.000 0.500
0.000 0.000 0.000
0.500 0.500 0.500

---

> What is the formation enthalpy at 0 K in the first record?

423 meV per atom

---

> What is the formula in the second record?

Be2PRuC

---

> Which of these has the lowest formation enthalpy at 0 K?

TcMo

---

> Among the records above, which one has the highest mass density?

TcMo